No. 1
Here is an optimized crystal structure of HfZr2Hg from the Alexandria database. Energies are from GGA-PBE.

Calculated values
* N(E_F): 2.43 states/eV per cell
* energy of formation: -63 meV per atom

Unit cell a=10.1767 b=10.1767 c=10.1767 alpha=18.37 beta=18.37 gamma=18.37
Sites, in units of the cell vectors:
Hf 0.0000 0.0000 0.0000
Zr 0.5842 0.5842 0.5842
Zr 0.7498 0.7498 0.7498
Hg 0.1670 0.1670 0.1670



No. 2
Here is an optimized crystal structure of Ba3Mg2Zn2Ag4 from the Alexandria database. Energies are from GGA-PBE.

Calculated values
* N(E_F): 7.95 states/eV per cell
* energy of formation: -175 meV per atom

Unit cell a=4.7257 b=4.7257 c=17.1166 alpha=90.00 beta=90.00 gamma=120.00
Sites, in units of the cell vectors:
Ba 0.0000 0.0000 0.0000
Ba 0.0000 0.0000 0.2709
Ba 0.0000 0.0000 0.7291
Mg 0.3333 0.6667 0.5585
Mg 0.6667 0.3333 0.4415
Zn 0.3333 0.6667 0.1364
Zn 0.6667 0.3333 0.8636
Ag 0.3333 0.6667 0.3959
Ag 0.3333 0.6667 0.8646
Ag 0.6667 0.3333 0.1354
Ag 0.6667 0.3333 0.6041



No. 3
Here is an optimized crystal structure of HfCdSe2Br from the Alexandria database. Energies are from GGA-PBE.

Calculated values
* distance to the lowest polymorph of the same formula: 0 meV/atom
* N(E_F): 3.52 states/eV per cell
* formation energy from raw total energies: -0.61 eV/atom

Unit cell a=5.1997 b=5.1997 c=5.3227 alpha=90.00 beta=90.00 gamma=90.00
Sites, in units of the cell vectors:
Hf 0.0000 0.0000 0.0000
Cd 0.5000 0.5000 0.5000
Se 0.0000 0.5000 0.0000
Se 0.5000 0.0000 0.0000
Br 0.0000 0.0000 0.5000



No. 4
Here is an optimized crystal structure of TlTe3C from the Alexandria database. Energies are from GGA-PBE.

Calculated values
* distance to the lowest polymorph of the same formula: 1210 meV/atom
* N(E_F): 8.72 states/eV per cell
* formation energy from raw total energies: 2.03 eV/atom

Unit cell a=5.8039 b=5.8039 c=5.8039 alpha=90.00 beta=90.00 gamma=90.00
Sites, in units of the cell vectors:
Tl 0.0000 0.0000 0.0000
Te 0.0000 0.0000 0.5000
Te 0.0000 0.5000 0.0000
Te 0.5000 0.0000 0.0000
C 0.5000 0.5000 0.5000



No. 5
Here is an optimized crystal structure of CaTa2B2 from the Alexandria database. Energies are from GGA-PBE.

Calculated values
* distance to the lowest polymorph of the same formula: 0 meV/atom
* N(E_F): 2.17 states/eV per cell
* energy of formation: 45 meV per atom

Unit cell a=5.5785 b=5.5785 c=5.5785 alpha=135.04 beta=135.04 gamma=65.46
Sites, in units of the cell vectors:
Ca 0.0000 0.0000 0.0000
Ta 0.3181 0.3181 0.0000
Ta 0.6819 0.6819 0.0000
B 0.2500 0.7500 0.5000
B 0.7500 0.2500 0.5000



No. 6
Here is an optimized crystal structure of La8Ge3Se4Br from the Alexandria database. Energies are from GGA-PBE.

Calculated values
* N(E_F): 4.51 states/eV per cell
* formation energy from raw total energies: -1.55 eV/atom

Unit cell a=8.7382 b=8.7382 c=8.7382 alpha=60.21 beta=60.21 gamma=60.21
Sites, in units of the cell vectors:
La 0.2371 0.7550 0.7550
La 0.2450 0.2450 0.7629
La 0.2450 0.7629 0.2450
La 0.2475 0.2475 0.2475
La 0.7525 0.7525 0.7525
La 0.7550 0.2371 0.7550
La 0.7550 0.7550 0.2371
La 0.7629 0.2450 0.2450
Ge 0.0000 0.0000 0.5000
Ge 0.0000 0.5000 0.0000
Ge 0.5000 0.0000 0.0000
Se 0.0000 0.0000 0.0000
Se 0.0000 0.5000 0.5000
Se 0.5000 0.0000 0.5000
Se 0.5000 0.5000 0.0000
Br 0.5000 0.5000 0.5000



No. 7
Here is an optimized crystal structure of LuAlAg2 from the Alexandria database. Energies are from GGA-PBE.

Calculated values
* distance to the lowest polymorph of the same formula: 139 meV/atom
* N(E_F): 2.30 states/eV per cell
* energy of formation: -179 meV per atom

Unit cell a=4.3657 b=4.3657 c=4.2002 alpha=90.00 beta=90.00 gamma=90.00
Sites, in units of the cell vectors:
Lu 0.0000 0.0000 0.0000
Al 0.5000 0.5000 0.0000
Ag 0.0000 0.5000 0.5000
Ag 0.5000 0.0000 0.5000



No. 8
Here is an optimized crystal structure of Sr2MoRu from the Alexandria database. Energies are from GGA-PBE.

Calculated values
* distance to the lowest polymorph of the same formula: 946 meV/atom
* N(E_F): 6.16 states/eV per cell
* energy of formation: 1211 meV per atom

Unit cell a=10.3440 b=10.3440 c=10.3440 alpha=18.07 beta=18.07 gamma=18.07
Sites, in units of the cell vectors:
Sr 0.2432 0.2432 0.2432
Sr 0.7568 0.7568 0.7568
Mo 0.0000 0.0000 0.0000
Ru 0.5000 0.5000 0.5000



Please write out number 6 again, unchanged.
Here is an optimized crystal structure of La8Ge3Se4Br from the Alexandria database. Energies are from GGA-PBE.

Calculated values
* N(E_F): 4.51 states/eV per cell
* formation energy from raw total energies: -1.55 eV/atom

Unit cell a=8.7382 b=8.7382 c=8.7382 alpha=60.21 beta=60.21 gamma=60.21
Sites, in units of the cell vectors:
La 0.2371 0.7550 0.7550
La 0.2450 0.2450 0.7629
La 0.2450 0.7629 0.2450
La 0.2475 0.2475 0.2475
La 0.7525 0.7525 0.7525
La 0.7550 0.2371 0.7550
La 0.7550 0.7550 0.2371
La 0.7629 0.2450 0.2450
Ge 0.0000 0.0000 0.5000
Ge 0.0000 0.5000 0.0000
Ge 0.5000 0.0000 0.0000
Se 0.0000 0.0000 0.0000
Se 0.0000 0.5000 0.5000
Se 0.5000 0.0000 0.5000
Se 0.5000 0.5000 0.0000
Br 0.5000 0.5000 0.5000